This record from Alexandria describes YB2Ir2 after structural relaxation. The functional is GGA-PBEsol.

## Properties
Energy of formation   -748.1 meV per atom
E_tot   -0.6503 Ry per atom
M_tot   0.00 μB per formula unit

Cell lengths 5.719, 9.232, 10.898 Å; angles 90.00, 90.00, 90.00 degrees
Space group Fddd (No. 70, origin choice 2)
Symmetry-distinct sites (fractional):
Y (0.125, 0.125, 0.125) (multiplicity 8)
B (0.125, 0.306, 0.625) (multiplicity 16)
Ir (0.125, 0.125, 0.499) (multiplicity 16)



This record from Alexandria describes Cu5As after structural relaxation. The functional is GGA-PBEsol.

## Properties
Energy of formation   14.2 meV per atom
E_tot   -0.3270 Ry per atom
M_tot   0.00 μB per formula unit

Cell lengths 3.646, 11.001, 3.609 Å; angles 90.00, 90.00, 90.00 degrees
Space group Cmmm (No. 65)
Symmetry-distinct sites (fractional):
Cu (0.000, 0.000, 0.000) (multiplicity 2)
Cu (0.000, 0.168, 0.500) (multiplicity 4)
Cu (0.000, 0.329, 0.000) (multiplicity 4)
As (0.000, 0.500, 0.500) (multiplicity 2)



This record from Alexandria describes Ni2AsWI after structural relaxation. The functional is GGA-PBEsol.

## Properties
Uncorrected formation energy   1.7922 eV per atom
E_tot   -0.3533 Ry per atom
M_tot   2.13 μB per formula unit

Cell lengths 4.465, 4.465, 5.128 Å; angles 90.00, 90.00, 90.00 degrees
Space group P4/mmm (No. 123)
Symmetry-distinct sites (fractional):
Ni (0.000, 0.500, 0.000) (multiplicity 2)
As (0.000, 0.000, 0.500) (multiplicity 1)
W (0.500, 0.500, 0.500) (multiplicity 1)
I (0.500, 0.500, 0.000) (multiplicity 1)



This record from Alexandria describes Li2MnP4H16O20 after structural relaxation. The functional is GGA-PBEsol.

## Properties
E_tot   -0.4483 Ry per atom
M_tot   5.00 μB per formula unit

Cell lengths 7.008, 10.431, 11.577 Å; angles 90.00, 114.66, 90.00 degrees
Space group P2_1/c (No. 14)
Symmetry-distinct sites (fractional):
Li (0.215, 0.167, 0.451) (multiplicity 4)
Mn (0.500, 0.000, 0.000) (multiplicity 2)
P (0.038, 0.044, 0.775) (multiplicity 4)
P (0.318, 0.732, 0.089) (multiplicity 4)
H (0.104, 0.589, 0.433) (multiplicity 4)
H (0.105, 0.590, 0.949) (multiplicity 4)
H (0.142, 0.717, 0.722) (multiplicity 4)
H (0.237, 0.105, 0.101) (multiplicity 4)
H (0.333, 0.046, 0.692) (multiplicity 4)
H (0.458, 0.177, 0.154) (multiplicity 4)
H (0.475, 0.549, 0.107) (multiplicity 4)
H (0.488, 0.629, 0.817) (multiplicity 4)
O (0.013, 0.191, 0.799) (multiplicity 4)
O (0.026, 0.039, 0.132) (multiplicity 4)
O (0.107, 0.656, 0.023) (multiplicity 4)
O (0.112, 0.508, 0.861) (multiplicity 4)
O (0.270, 0.024, 0.808) (multiplicity 4)
O (0.306, 0.643, 0.518) (multiplicity 4)
O (0.341, 0.144, 0.074) (multiplicity 4)
O (0.351, 0.745, 0.728) (multiplicity 4)
O (0.399, 0.067, 0.630) (multiplicity 4)
O (0.499, 0.148, 0.414) (multiplicity 4)



This record from Alexandria describes CePt4Rh after structural relaxation. The functional is GGA-PBEsol.

## Properties
Energy of formation   -612.0 meV per atom
E_tot   -0.5667 Ry per atom
M_tot   0.13 μB per formula unit

Cell lengths 5.2719, 5.2719, 4.3613 Å; angles 90.00, 90.00, 120.00 degrees
Space group P-6m2 (No. 187)
Symmetry-distinct sites (fractional):
Ce (0.0000, 0.0000, 0.0000) (multiplicity 1)
Pt (0.0016, 0.5008, 0.5000) (multiplicity 3)
Pt (0.6667, 0.3333, 0.0000) (multiplicity 1)
Rh (0.3333, 0.6667, 0.0000) (multiplicity 1)



This record from Alexandria describes RbGaCl2 after structural relaxation. The functional is GGA-PBEsol.

## Properties
Uncorrected formation energy   -1.1510 eV per atom
E_tot   -0.2386 Ry per atom
M_tot   0.00 μB per formula unit

Cell lengths 6.698, 6.698, 14.621 Å; angles 90.00, 90.00, 90.00 degrees
Space group I-42d (No. 122)
Symmetry-distinct sites (fractional):
Rb (0.000, 0.000, 0.000) (multiplicity 4)
Ga (0.000, 0.000, 0.500) (multiplicity 4)
Cl (0.207, 0.250, 0.625) (multiplicity 8)



This record from Alexandria describes Ca5Au3 after structural relaxation. The functional is GGA-PBEsol.

## Properties
Energy of formation   -658.0 meV per atom
E_tot   -0.2545 Ry per atom
E above lowest polymorph   0.00 eV per formula unit
M_tot   0.00 μB per formula unit

Cell lengths 7.726, 7.726, 14.337 Å; angles 90.00, 90.00, 90.00 degrees
Space group I4/mcm (No. 140)
Symmetry-distinct sites (fractional):
Ca (0.000, 0.000, 0.000) (multiplicity 4)
Ca (0.170, 0.330, 0.144) (multiplicity 16)
Au (0.000, 0.000, 0.250) (multiplicity 4)
Au (0.129, 0.371, 0.500) (multiplicity 8)



This record from Alexandria describes K2MgH8S2O12 after structural relaxation. The functional is GGA-PBEsol.

## Properties
E_tot   -0.4139 Ry per atom
M_tot   0.22 μB per formula unit

Cell lengths 9.839, 9.423, 11.728 Å; angles 90.00, 95.71, 90.00 degrees
Space group P2_1/c (No. 14)
Symmetry-distinct sites (fractional):
K (0.236, 0.231, 0.163) (multiplicity 4)
K (0.255, 0.745, 0.664) (multiplicity 4)
Mg (0.000, 0.000, 0.500) (multiplicity 2)
Mg (0.500, 0.000, 0.000) (multiplicity 2)
H (0.037, 0.219, 0.941) (multiplicity 4)
H (0.047, 0.717, 0.445) (multiplicity 4)
H (0.268, 0.521, 0.925) (multiplicity 4)
H (0.269, 0.636, 0.410) (multiplicity 4)
H (0.270, 0.138, 0.918) (multiplicity 4)
H (0.276, 0.014, 0.558) (multiplicity 4)
H (0.390, 0.749, 0.418) (multiplicity 4)
H (0.398, 0.239, 0.918) (multiplicity 4)
S (0.047, 0.006, 0.796) (multiplicity 4)
S (0.478, 0.006, 0.290) (multiplicity 4)
O (0.010, 0.721, 0.004) (multiplicity 4)
O (0.060, 0.010, 0.672) (multiplicity 4)
O (0.097, 0.508, 0.680) (multiplicity 4)
O (0.115, 0.627, 0.344) (multiplicity 4)
O (0.120, 0.132, 0.850) (multiplicity 4)
O (0.210, 0.008, 0.487) (multiplicity 4)
O (0.360, 0.161, 0.964) (multiplicity 4)
O (0.360, 0.659, 0.453) (multiplicity 4)
O (0.375, 0.027, 0.685) (multiplicity 4)
O (0.393, 0.589, 0.855) (multiplicity 4)
O (0.434, 0.513, 0.665) (multiplicity 4)
O (0.454, 0.157, 0.319) (multiplicity 4)



This record from Alexandria describes La2InF2 after structural relaxation. The functional is GGA-PBEsol.

## Properties
Uncorrected formation energy   -2.4146 eV per atom
E_tot   -0.4352 Ry per atom
M_tot   0.00 μB per formula unit

Cell lengths 3.902, 3.902, 14.293 Å; angles 90.00, 90.00, 90.00 degrees
Space group I4/mmm (No. 139)
Symmetry-distinct sites (fractional):
La (0.000, 0.000, 0.139) (multiplicity 4)
In (0.000, 0.000, 0.500) (multiplicity 2)
F (0.000, 0.500, 0.250) (multiplicity 4)



This record from Alexandria describes CaTa2Tc after structural relaxation. The functional is GGA-PBEsol.

## Properties
Energy of formation   436.3 meV per atom
E_tot   -0.6754 Ry per atom
E above lowest polymorph   0.00 eV per formula unit
M_tot   0.00 μB per formula unit

Cell lengths 2.973, 4.238, 6.317 Å; angles 90.00, 101.23, 90.00 degrees
Space group P2/m (No. 10)
Symmetry-distinct sites (fractional):
Ca (0.000, 0.000, 0.000) (multiplicity 1)
Ta (0.273, 0.500, 0.693) (multiplicity 2)
Tc (0.500, 0.000, 0.500) (multiplicity 1)



This record from Alexandria describes CdWOF2 after structural relaxation. The functional is GGA-PBEsol.

## Properties
Uncorrected formation energy   -1.1829 eV per atom
E_tot   -0.4413 Ry per atom
E above lowest polymorph   0.00 eV per formula unit
M_tot   0.72 μB per formula unit

Cell lengths 4.253, 4.253, 3.829 Å; angles 90.00, 90.00, 90.00 degrees
Space group P4/mmm (No. 123)
Symmetry-distinct sites (fractional):
Cd (0.000, 0.000, 0.000) (multiplicity 1)
W (0.500, 0.500, 0.500) (multiplicity 1)
O (0.500, 0.500, 0.000) (multiplicity 1)
F (0.000, 0.500, 0.500) (multiplicity 2)



This record from Alexandria describes Li2Si2Ir after structural relaxation. The functional is GGA-PBEsol.

## Properties
Uncorrected formation energy   -0.3659 eV per atom
E_tot   -0.3981 Ry per atom
M_tot   0.00 μB per formula unit

Cell lengths 6.193, 6.193, 3.555 Å; angles 90.00, 90.00, 90.00 degrees
Space group P4/mbm (No. 127)
Symmetry-distinct sites (fractional):
Li (0.169, 0.331, 0.000) (multiplicity 4)
Si (0.135, 0.635, 0.500) (multiplicity 4)
Ir (0.000, 0.000, 0.500) (multiplicity 2)



This record from Alexandria describes BaBPCl2 after structural relaxation. The functional is GGA-PBEsol.

## Properties
Uncorrected formation energy   0.6759 eV per atom
E_tot   -0.2292 Ry per atom
E above lowest polymorph   6.18 eV per formula unit
M_tot   2.00 μB per formula unit

Cell lengths 5.826, 5.826, 6.409 Å; angles 90.00, 90.00, 90.00 degrees
Space group P4/mmm (No. 123)
Symmetry-distinct sites (fractional):
Ba (0.000, 0.000, 0.000) (multiplicity 1)
B (0.500, 0.500, 0.500) (multiplicity 1)
P (0.000, 0.000, 0.500) (multiplicity 1)
Cl (0.000, 0.500, 0.000) (multiplicity 2)



This record from Alexandria describes Ba2Ag after structural relaxation. The functional is GGA-PBEsol.

## Properties
Energy of formation   -77.5 meV per atom
E_tot   -0.1921 Ry per atom
E above lowest polymorph   0.18 eV per formula unit
M_tot   0.00 μB per formula unit

Cell lengths 4.067, 20.276, 5.868 Å; angles 90.00, 90.00, 90.00 degrees
Space group Cmcm (No. 63)
Symmetry-distinct sites (fractional):
Ba (0.000, 0.068, 0.250) (multiplicity 4)
Ba (0.000, 0.200, 0.750) (multiplicity 4)
Ag (0.000, 0.433, 0.250) (multiplicity 4)



This record from Alexandria describes TcPOsO2 after structural relaxation. The functional is GGA-PBEsol.

## Properties
Uncorrected formation energy   0.0342 eV per atom
E_tot   -0.5821 Ry per atom
M_tot   2.27 μB per formula unit

Cell lengths 3.605, 3.605, 5.467 Å; angles 90.00, 90.00, 90.00 degrees
Space group P4/mmm (No. 123)
Symmetry-distinct sites (fractional):
Tc (0.000, 0.000, 0.000) (multiplicity 1)
P (0.000, 0.000, 0.500) (multiplicity 1)
Os (0.500, 0.500, 0.500) (multiplicity 1)
O (0.000, 0.500, 0.000) (multiplicity 2)



This record from Alexandria describes BeAg2Pb after structural relaxation. The functional is GGA-PBEsol.

## Properties
Energy of formation   375.6 meV per atom
E_tot   -0.2411 Ry per atom
E above lowest polymorph   0.02 eV per formula unit
M_tot   0.00 μB per formula unit

Cell lengths 4.122, 4.122, 8.310 Å; angles 90.00, 90.00, 90.00 degrees
Space group I-4m2 (No. 119)
Symmetry-distinct sites (fractional):
Be (0.000, 0.000, 0.000) (multiplicity 2)
Ag (0.000, 0.000, 0.500) (multiplicity 2)
Ag (0.000, 0.500, 0.750) (multiplicity 2)
Pb (0.000, 0.500, 0.250) (multiplicity 2)



This record from Alexandria describes Ca2NiIr after structural relaxation. The functional is GGA-PBEsol.

## Properties
Energy of formation   148.7 meV per atom
E_tot   -0.3611 Ry per atom
M_tot   0.27 μB per formula unit

Cell lengths 6.597, 6.597, 6.597 Å; angles 90.00, 90.00, 90.00 degrees
Space group F-43m (No. 216)
Symmetry-distinct sites (fractional):
Ca (0.000, 0.000, 0.000) (multiplicity 4)
Ca (0.250, 0.250, 0.250) (multiplicity 4)
Ni (0.000, 0.000, 0.500) (multiplicity 4)
Ir (0.250, 0.250, 0.750) (multiplicity 4)